Entry 1:
Here is an optimized crystal structure of PmCu6Au12 from Alexandria via LeMat-Bulk. Energies are from PBE.

Formation energy from the elements: -52 meV/atom
DFT total energy: -3.666 eV per atom

Unit cell a=7.3967 b=7.3967 c=7.3967 alpha=105.71 beta=105.71 gamma=105.71
Last column: nearest neighbours and their distance in Å.
Fractional coordinates of all 19 atoms:
Pm  0.0000  0.0000  0.0000  6 Au 3.05
Cu  0.2896  0.2896  0.6890  8 Au 2.63-2.94
Cu  0.2896  0.6890  0.2896  8 Au 2.63-2.94
Cu  0.3110  0.7104  0.7104  8 Au 2.63-2.94
Cu  0.6890  0.2896  0.2896  8 Au 2.63-2.94
Cu  0.7104  0.3110  0.7104  8 Au 2.63-2.94
Cu  0.7104  0.7104  0.3110  8 Au 2.63-2.94
Au  0.1183  0.5000  0.8817  4 Cu 2.63-2.71, 3 Au 2.76-2.79
Au  0.1183  0.8817  0.5000  4 Cu 2.63-2.71, 3 Au 2.76-2.79
Au  0.1222  0.3751  0.3751  4 Cu 2.64-2.94, 2 Au 2.76
Au  0.3751  0.1222  0.3751  4 Cu 2.64-2.94, 2 Au 2.76
Au  0.3751  0.3751  0.1222  4 Cu 2.64-2.94, 2 Au 2.76
Au  0.5000  0.1183  0.8817  4 Cu 2.63-2.71, 3 Au 2.76-2.79
Au  0.5000  0.8817  0.1183  4 Cu 2.63-2.71, 3 Au 2.76-2.79
Au  0.6249  0.6249  0.8778  4 Cu 2.64-2.94, 2 Au 2.76
Au  0.6249  0.8778  0.6249  4 Cu 2.64-2.94, 2 Au 2.76
Au  0.8778  0.6249  0.6249  4 Cu 2.64-2.94, 2 Au 2.76
Au  0.8817  0.1183  0.5000  4 Cu 2.63-2.71, 3 Au 2.76-2.79
Au  0.8817  0.5000  0.1183  4 Cu 2.63-2.71, 3 Au 2.76-2.79

***

Entry 2:
Here is an optimized crystal structure of Pm3Cu2Au4 from Alexandria via LeMat-Bulk. Energies are from PBE.

Formation energy from the elements: -626 meV/atom
DFT total energy: -4.576 eV per atom

Unit cell a=5.8665 b=5.8665 c=8.7024 alpha=110.93 beta=110.93 gamma=46.34
Last column: nearest neighbours and their distance in Å.
Fractional coordinates of all 9 atoms:
Pm  0.0000  0.0000  0.0000  8 Au 3.15-3.34, 4 Cu 3.26
Pm  0.3348  0.3348  0.3330  4 Cu 3.14-3.25, 8 Au 3.14-3.30
Pm  0.6652  0.6652  0.6670  4 Cu 3.14-3.25, 8 Au 3.14-3.30
Cu  0.3890  0.3890  0.7143  3 Au 2.57-2.59
Cu  0.6110  0.6110  0.2857  3 Au 2.57-2.59
Au  0.0624  0.0624  0.3845  2 Cu 2.59, 1 Au 2.82
Au  0.2848  0.2848  0.9344  1 Cu 2.57, 2 Au 2.80
Au  0.7152  0.7152  0.0656  1 Cu 2.57, 2 Au 2.80
Au  0.9376  0.9376  0.6155  2 Cu 2.59, 1 Au 2.82

***

Entry 3:
Here is an optimized crystal structure of PmCu9Au2 from Alexandria via LeMat-Bulk. Energies are from PBE.

Formation energy from the elements: -128 meV/atom
DFT total energy: -4.142 eV per atom

Unit cell a=8.4685 b=8.4685 c=8.4685 alpha=34.60 beta=34.60 gamma=34.60
Last column: nearest neighbours and their distance in Å.
Fractional coordinates of all 12 atoms:
Pm  0.0000  0.0000  0.0000  18 Cu 2.91-3.24
Cu  0.0813  0.5878  0.5878  7 Cu 2.43-2.55
Cu  0.3337  0.3337  0.3337  6 Cu 2.50-2.51
Cu  0.4122  0.4122  0.9187  7 Cu 2.43-2.55
Cu  0.4122  0.9187  0.4122  7 Cu 2.43-2.55
Cu  0.5000  0.5000  0.5000  6 Cu 2.43
Cu  0.5878  0.0813  0.5878  7 Cu 2.43-2.55
Cu  0.5878  0.5878  0.0813  7 Cu 2.43-2.55
Cu  0.6663  0.6663  0.6663  6 Cu 2.50-2.51
Cu  0.9187  0.4122  0.4122  7 Cu 2.43-2.55
Au  0.1420  0.1420  0.1420  12 Cu 2.86-2.97, 3 Au 3.14
Au  0.8580  0.8580  0.8580  12 Cu 2.86-2.97, 3 Au 3.14

***

- What is the formula in the first record?
  PmCu6Au12

***

Copy entry 3 word for word.
Here is an optimized crystal structure of PmCu9Au2 from Alexandria via LeMat-Bulk. Energies are from PBE.

Formation energy from the elements: -128 meV/atom
DFT total energy: -4.142 eV per atom

Unit cell a=8.4685 b=8.4685 c=8.4685 alpha=34.60 beta=34.60 gamma=34.60
Last column: nearest neighbours and their distance in Å.
Fractional coordinates of all 12 atoms:
Pm  0.0000  0.0000  0.0000  18 Cu 2.91-3.24
Cu  0.0813  0.5878  0.5878  7 Cu 2.43-2.55
Cu  0.3337  0.3337  0.3337  6 Cu 2.50-2.51
Cu  0.4122  0.4122  0.9187  7 Cu 2.43-2.55
Cu  0.4122  0.9187  0.4122  7 Cu 2.43-2.55
Cu  0.5000  0.5000  0.5000  6 Cu 2.43
Cu  0.5878  0.0813  0.5878  7 Cu 2.43-2.55
Cu  0.5878  0.5878  0.0813  7 Cu 2.43-2.55
Cu  0.6663  0.6663  0.6663  6 Cu 2.50-2.51
Cu  0.9187  0.4122  0.4122  7 Cu 2.43-2.55
Au  0.1420  0.1420  0.1420  12 Cu 2.86-2.97, 3 Au 3.14
Au  0.8580  0.8580  0.8580  12 Cu 2.86-2.97, 3 Au 3.14